(1)
PBE-GGA Nd2AlCd2, optimized geometry; symmetry = Cmmm (65); calculated density = 6.92 g cm⁻³; crystal system = orthorhombic; energy of formation from the pure elements = -0.296 eV per atom; size of the total moment = 0.00 μB per formula unit
1.0
2.409 -7.639 0.000
2.409 7.639 0.000
0.000 0.000 3.520
Nd Al Cd
2 1 2
Cartesian
2.409 5.985 0.000
2.409 -5.985 0.000
2.409 0.000 1.760
2.409 3.025 1.760
2.409 -3.025 1.760

(2)
PBE-GGA Nd2Al5Cd, optimized geometry; symmetry = I4mm (107); calculated density = 5.15 g cm⁻³; crystal system = tetragonal; energy of formation from the pure elements = -0.334 eV per atom; size of the total moment = 0.00 μB per formula unit
1.0
-3.141 3.141 4.375
3.141 -3.141 4.375
3.141 3.141 -4.375
Nd Al Cd
2 5 1
Cartesian
3.141 0.000 0.000
0.000 3.141 0.000
0.000 0.000 0.000
1.569 1.569 6.562
-1.569 1.569 6.562
1.569 -1.569 6.562
1.572 1.572 2.187
0.000 0.000 4.370

(3)
PBE-GGA Nd3AlCd, optimized geometry; symmetry = Pmmn (59); calculated density = 5.98 g cm⁻³; crystal system = orthorhombic; energy of formation from the pure elements = -0.088 eV per atom; size of the total moment = 0.00 μB per formula unit; relative energy among the computed polymorphs = 0.152 eV per atom
1.0
4.858 0.000 0.000
0.000 7.018 0.000
0.000 0.000 9.316
Nd Al Cd
6 2 2
Cartesian
1.215 0.067 2.031
1.215 1.754 5.271
1.215 3.442 2.031
3.644 3.575 7.285
3.644 5.263 4.045
3.644 6.951 7.285
1.215 5.263 5.907
3.644 1.754 3.409
1.215 1.754 8.566
3.644 5.263 0.750

(4)
PBE-GGA Nd4AlCd3, optimized geometry; symmetry = P4/mmm (123); calculated density = 6.98 g cm⁻³; crystal system = tetragonal; energy of formation from the pure elements = -0.325 eV per atom; size of the total moment = 0.70 μB per formula unit; relative energy among the computed polymorphs = 0.000 eV per atom
1.0
3.785 0.000 0.000
0.000 3.785 0.000
0.000 0.000 15.632
Nd Al Cd
4 1 3
Cartesian
0.000 0.000 1.816
0.000 0.000 5.813
0.000 0.000 9.819
0.000 0.000 13.816
1.893 1.893 0.000
1.893 1.893 3.837
1.893 1.893 7.816
1.893 1.893 11.795

(5)
PBE-GGA Nd8AlCd2, optimized geometry; symmetry = C2/m (12); calculated density = 6.73 g cm⁻³; crystal system = monoclinic; energy of formation from the pure elements = -0.126 eV per atom; size of the total moment = 0.00 μB per formula unit; relative energy among the computed polymorphs = 0.030 eV per atom
1.0
9.253 -2.678 0.000
9.253 2.678 0.000
-2.408 0.000 6.995
Nd Al Cd
8 1 2
Cartesian
-0.295 0.000 1.891
1.688 0.000 5.530
4.920 0.000 3.777
7.469 0.000 0.319
8.629 0.000 6.676
11.179 0.000 3.217
14.410 0.000 1.465
16.393 0.000 5.103
8.049 0.000 3.497
2.871 0.000 1.416
13.228 0.000 5.578

(6)
PBE-GGA Nd5Al2Cd, optimized geometry; symmetry = I4/mcm (140); calculated density = 6.09 g cm⁻³; crystal system = tetragonal; energy of formation from the pure elements = -0.233 eV per atom; size of the total moment = 0.00 μB per formula unit
1.0
-3.955 3.955 7.736
3.955 -3.955 7.736
3.955 3.955 -7.736
Nd Al Cd
10 4 2
Cartesian
0.000 0.000 0.000
5.312 1.357 -2.262
1.357 2.598 -2.262
5.312 1.357 2.262
1.357 2.598 2.262
0.000 0.000 7.736
2.598 1.357 5.474
-1.357 2.598 5.474
2.598 1.357 9.998
-1.357 2.598 9.998
3.025 0.930 0.000
3.025 -0.930 7.736
0.930 4.885 0.000
0.930 3.025 7.736
0.000 0.000 3.868
0.000 0.000 11.604

(7)
PBE-GGA Nd2Al4CdPd3, optimized geometry; symmetry = P-4m2 (115); calculated density = 6.83 g cm⁻³; crystal system = tetragonal; energy of formation from the pure elements = -0.715 eV per atom; size of the total moment = 0.00 μB per formula unit
1.0
4.318 0.000 0.000
0.000 4.318 0.000
0.000 0.000 10.803
Nd Al Cd Pd
2 4 1 3
Cartesian
0.000 2.159 2.594
2.159 0.000 8.209
0.000 0.000 0.000
0.000 2.159 6.959
2.159 0.000 3.845
2.159 2.159 0.000
0.000 0.000 5.402
0.000 2.159 9.441
2.159 0.000 1.363
2.159 2.159 5.402

(8)
PBE-GGA Nd2AlCdPd6, optimized geometry; symmetry = C2/m (12); calculated density = 7.60 g cm⁻³; crystal system = monoclinic; energy of formation from the pure elements = -0.596 eV per atom; size of the total moment = 0.00 μB per formula unit
1.0
4.955 -2.861 0.000
4.955 2.861 0.000
-3.311 0.000 8.215
Nd Al Cd Pd
2 1 1 6
Cartesian
1.653 0.000 0.939
4.946 0.000 7.276
4.955 0.000 0.000
-1.656 0.000 4.107
4.115 1.459 1.823
-0.042 0.000 6.394
2.484 1.459 6.391
4.115 -1.459 1.823
6.641 0.000 1.821
2.484 -1.459 6.391